{
  "formula": "Cs3In2Br9",
  "functional": "PBE-GGA",
  "state": "relaxed",
  "lattice": [[7.921, 0.000, 0.000], [-3.961, 6.860, 0.000], [0.000, 0.000, 20.180]],
  "species": ["Cs", "Cs", "Cs", "Cs", "Cs", "Cs", "In", "In", "In", "In", "Br", "Br", "Br", "Br", "Br", "Br", "Br", "Br", "Br", "Br", "Br", "Br", "Br", "Br", "Br", "Br", "Br", "Br"],
  "fractional_positions": [[0.000, 0.000, 0.250], [0.000, 0.000, 0.750], [0.333, 0.667, 0.069], [0.333, 0.667, 0.431], [0.667, 0.333, 0.569], [0.667, 0.333, 0.931], [0.333, 0.667, 0.656], [0.333, 0.667, 0.844], [0.667, 0.333, 0.156], [0.667, 0.333, 0.344], [0.025, 0.512, 0.750], [0.168, 0.337, 0.590], [0.168, 0.337, 0.910], [0.168, 0.832, 0.590], [0.168, 0.832, 0.910], [0.337, 0.168, 0.090], [0.337, 0.168, 0.410], [0.488, 0.512, 0.750], [0.488, 0.975, 0.750], [0.512, 0.025, 0.250], [0.512, 0.488, 0.250], [0.663, 0.832, 0.590], [0.663, 0.832, 0.910], [0.832, 0.168, 0.090], [0.832, 0.168, 0.410], [0.832, 0.663, 0.090], [0.832, 0.663, 0.410], [0.975, 0.488, 0.250]],
  "total_magnetization_mub_per_cell": 0.0,
  "dos_at_fermi_per_ev_atom": 0.00,
  "final_energy_ev_per_atom": -2.945,
  "space_group": "P6_3/mmc, No. 194",
  "mass_density_g_cm3": 4.081
}

***

{
  "formula": "CsInBr2",
  "functional": "PBE-GGA",
  "state": "relaxed",
  "lattice": [[8.860, 0.000, 0.000], [0.000, 10.288, 0.000], [-2.598, 0.000, 7.994]],
  "species": ["Cs", "Cs", "Cs", "Cs", "In", "In", "In", "In", "Br", "Br", "Br", "Br", "Br", "Br", "Br", "Br"],
  "fractional_positions": [[0.249, 0.119, 0.001], [0.249, 0.381, 0.501], [0.751, 0.619, 0.499], [0.751, 0.881, 0.999], [0.251, 0.637, 0.001], [0.251, 0.863, 0.501], [0.749, 0.137, 0.499], [0.749, 0.363, 0.999], [0.040, 0.662, 0.272], [0.040, 0.838, 0.772], [0.463, 0.661, 0.727], [0.463, 0.839, 0.227], [0.537, 0.161, 0.773], [0.537, 0.339, 0.273], [0.960, 0.162, 0.228], [0.960, 0.338, 0.728]],
  "total_magnetization_mub_per_cell": 0.0,
  "dos_at_fermi_per_ev_atom": 0.00,
  "final_energy_ev_per_atom": -2.951,
  "space_group": "P2_1/c, No. 14",
  "mass_density_g_cm3": 3.715
}

***

{
  "formula": "Cs2InBr3",
  "functional": "PBE-GGA",
  "state": "relaxed",
  "lattice": [[4.261, 2.460, 8.684], [-4.261, 2.460, 8.684], [0.000, -4.920, 8.684]],
  "species": ["Cs", "Cs", "Cs", "Cs", "In", "In", "Br", "Br", "Br", "Br", "Br", "Br"],
  "fractional_positions": [[0.171, 0.171, 0.171], [0.329, 0.329, 0.329], [0.671, 0.671, 0.671], [0.829, 0.829, 0.829], [0.000, 0.000, 0.000], [0.500, 0.500, 0.500], [0.110, 0.750, 0.390], [0.250, 0.610, 0.890], [0.390, 0.110, 0.750], [0.610, 0.890, 0.250], [0.750, 0.390, 0.110], [0.890, 0.250, 0.610]],
  "total_magnetization_mub_per_cell": 0.0,
  "dos_at_fermi_per_ev_atom": 0.00,
  "final_energy_ev_per_atom": -2.949,
  "space_group": "R-3c, No. 167",
  "mass_density_g_cm3": 3.772
}